No. 1
LiCaNdIr | GGA-PBE | optimized geometry

Lattice parameters (Å, degrees): 7.114 7.114 7.114 90.00 90.00 90.00
Space group F-43m (No. 216)
One atom of each set of equivalent atoms:
Li 0.000 0.000 0.000 x4
Ca 0.250 0.250 0.750 x4
Nd 0.250 0.250 0.250 x4
Ir 0.000 0.000 0.500 x4

Values from the calculation:
Crystal system: cubic
E, eV per atom: -4.713

No. 2
LiCa2IrO6 | GGA-PBE | optimized geometry

Lattice parameters (Å, degrees): 5.426 5.693 9.349 90.00 124.93 90.00
Space group P2_1/c (No. 14)
One atom of each set of equivalent atoms:
Li 0.000 0.000 0.000 x2
Ca 0.231 0.067 0.747 x4
Ir 0.500 0.000 0.500 x2
O 0.162 0.186 0.453 x4
O 0.268 0.717 0.447 x4
O 0.356 0.030 0.259 x4

Values from the calculation:
Crystal system: monoclinic
E, eV per atom: -6.279
Formation energy (no corrections), eV/atom: -1.826

No. 3
Li2CaIrO4 | GGA-PBE | optimized geometry

Lattice parameters (Å, degrees): 5.210 5.608 6.622 90.00 90.00 90.00
Space group I222 (No. 23)
One atom of each set of equivalent atoms:
Li 0.000 0.000 0.245 x4
Ca 0.000 0.500 0.000 x2
Ir 0.000 0.500 0.500 x2
O 0.207 0.260 0.636 x8

Values from the calculation:
Crystal system: orthorhombic
E, eV per atom: -5.813
Formation energy (no corrections), eV/atom: -1.498